No. 1
Density functional theory data (SCAN) for a crystal of RbMgNiS2 relaxed with PBEsol.

Properties
calculated density = 3.38 Mg/m³
energy = -12.33 eV per atom
space group = No. 123

Cell: 4.7499 4.9024 4.9024 Å, 90.00 90.00 90.00°
Last column: nearest neighbours and their distance in Å.
Fractional positions:
Ni (0.5000, 0.0000, 0.0000)  2 Mg 2.37
S (0.0000, 0.0000, 0.5000)  2 Mg 2.45
S (0.0000, 0.5000, 0.0000)  2 Mg 2.45
Mg (0.0000, 0.0000, 0.0000)  2 Ni 2.37, 4 S 2.45
Rb (0.5000, 0.5000, 0.5000)  8 S 3.41, 4 Ni 3.47

---

No. 2
Density functional theory data (SCAN) for a crystal of La3Ir relaxed with PBEsol.

Properties
calculated density = 8.59 Mg/m³
energy = -50.70 eV per atom
space group = No. 62

Cell: 6.4881 7.2895 9.9544 Å, 90.00 90.00 90.00°
Last column: nearest neighbours and their distance in Å.
Fractional positions:
Ir (0.5710, 0.3763, 0.7500)  6 La 2.85-3.00
Ir (0.0710, 0.1237, 0.2500)  6 La 2.85-3.00
Ir (0.4290, 0.6237, 0.2500)  6 La 2.85-3.00
Ir (0.9290, 0.8763, 0.7500)  6 La 2.85-3.00
La (0.8324, 0.1702, 0.9346)  2 Ir 2.89-2.92
La (0.3324, 0.3298, 0.0654)  2 Ir 2.89-2.92
La (0.1676, 0.8298, 0.4346)  2 Ir 2.89-2.92
La (0.6676, 0.6702, 0.5654)  2 Ir 2.89-2.92
La (0.1676, 0.8298, 0.0654)  2 Ir 2.89-2.92
La (0.6676, 0.6702, 0.9346)  2 Ir 2.89-2.92
La (0.8324, 0.1702, 0.5654)  2 Ir 2.89-2.92
La (0.3324, 0.3298, 0.4346)  2 Ir 2.89-2.92
La (0.3550, 0.0362, 0.7500)  2 Ir 2.85-3.00
La (0.8550, 0.4638, 0.2500)  2 Ir 2.85-3.00
La (0.6450, 0.9638, 0.2500)  2 Ir 2.85-3.00
La (0.1450, 0.5362, 0.7500)  2 Ir 2.85-3.00

---

No. 3
Density functional theory data (SCAN) for a crystal of Tl4CoIr relaxed with PBEsol.

Properties
calculated density = 12.60 Mg/m³
energy = -61.64 eV per atom
space group = No. 216

Cell: 5.8404 5.8404 5.8404 Å, 60.00 60.00 60.00°
Last column: nearest neighbours and their distance in Å.
Fractional positions:
Co (0.7500, 0.7500, 0.7500)  12 Tl 3.42, 4 Ir 3.58
Ir (0.0000, 0.0000, 0.0000)  12 Tl 3.42, 4 Co 3.58
Tl (0.3748, 0.3748, 0.3748)  6 Tl 2.91-2.93
Tl (0.3748, 0.3748, 0.8757)  6 Tl 2.91-2.93
Tl (0.8757, 0.3748, 0.3748)  6 Tl 2.91-2.93
Tl (0.3748, 0.8757, 0.3748)  6 Tl 2.91-2.93

---

No. 4
Density functional theory data (SCAN) for a crystal of Ca2ScTaOs relaxed with PBEsol.

Properties
calculated density = 5.94 Mg/m³
energy = -33.74 eV per atom
space group = No. 123

Cell: 4.8111 5.3700 5.3700 Å, 90.00 90.00 90.00°
Last column: nearest neighbours and their distance in Å.
Fractional positions:
Sc (0.5000, 0.5000, 0.5000)  8 Ca 3.60, 4 Ta 3.80
Ca (0.0000, 0.0000, 0.5000)  2 Os 2.68
Ca (0.0000, 0.5000, 0.0000)  2 Os 2.68
Os (0.0000, 0.0000, 0.0000)  2 Ta 2.41, 4 Ca 2.68
Ta (0.5000, 0.0000, 0.0000)  2 Os 2.41

---

No. 5
Density functional theory data (SCAN) for a crystal of Ca2TbMn3O9 relaxed with PBEsol.

Properties
calculated density = 5.81 Mg/m³
energy = -14.65 eV per atom
space group = No. 62

Cell: 5.2408 7.4440 16.0621 Å, 90.00 90.00 90.00°
Last column: nearest neighbours and their distance in Å.
Fractional positions:
Ca (0.4887, 0.2500, 0.4832)  6 O 2.31-2.55
Ca (0.4881, 0.2500, 0.8186)  6 O 2.30-2.53
Ca (0.0119, 0.2500, 0.3186)  6 O 2.30-2.53
Ca (0.0113, 0.2500, 0.9832)  6 O 2.31-2.55
Ca (0.5119, 0.7500, 0.1814)  6 O 2.30-2.53
Ca (0.5113, 0.7500, 0.5168)  6 O 2.31-2.55
Ca (0.9887, 0.7500, 0.0168)  6 O 2.31-2.55
Ca (0.9881, 0.7500, 0.6814)  6 O 2.30-2.53
Tb (0.4905, 0.2500, 0.1484)  8 O 2.27-2.52
Tb (0.0095, 0.2500, 0.6484)  8 O 2.27-2.52
Tb (0.5095, 0.7500, 0.8516)  8 O 2.27-2.52
Tb (0.9905, 0.7500, 0.3516)  8 O 2.27-2.52
Mn (0.0010, 0.9991, 0.1672)  6 O 1.90-1.93
Mn (0.0000, 0.0000, 0.5000)  6 O 1.91-1.93
Mn (0.9990, 0.0009, 0.8328)  6 O 1.90-1.93
Mn (0.5000, 0.5000, 0.0000)  6 O 1.91-1.93
Mn (0.5010, 0.4991, 0.3328)  6 O 1.90-1.93
Mn (0.4990, 0.5009, 0.6672)  6 O 1.90-1.93
Mn (0.0010, 0.5009, 0.1672)  6 O 1.90-1.93
Mn (0.0000, 0.5000, 0.5000)  6 O 1.91-1.93
Mn (0.9990, 0.4991, 0.8328)  6 O 1.90-1.93
Mn (0.5000, 0.0000, 0.0000)  6 O 1.91-1.93
Mn (0.5010, 0.0009, 0.3328)  6 O 1.90-1.93
Mn (0.4990, 0.9991, 0.6672)  6 O 1.90-1.93
O (0.2144, 0.0475, 0.0720)  2 Mn 1.92-1.93
O (0.2067, 0.0324, 0.4018)  2 Mn 1.91-1.93
O (0.2011, 0.0437, 0.7349)  2 Mn 1.92-1.93
O (0.2989, 0.4563, 0.2349)  2 Mn 1.92-1.93
O (0.2856, 0.4525, 0.5720)  2 Mn 1.92-1.93
O (0.2933, 0.4676, 0.9018)  2 Mn 1.91-1.93
O (0.7989, 0.5437, 0.2651)  2 Mn 1.92-1.93
O (0.7933, 0.5324, 0.5982)  2 Mn 1.91-1.93
O (0.7856, 0.5475, 0.9280)  2 Mn 1.92-1.93
O (0.7067, 0.9676, 0.0982)  2 Mn 1.91-1.93
O (0.7144, 0.9525, 0.4280)  2 Mn 1.92-1.93
O (0.7011, 0.9563, 0.7651)  2 Mn 1.92-1.93
O (0.7989, 0.9563, 0.2651)  2 Mn 1.92-1.93
O (0.7933, 0.9676, 0.5982)  2 Mn 1.91-1.93
O (0.7856, 0.9525, 0.9280)  2 Mn 1.92-1.93
O (0.7067, 0.5324, 0.0982)  2 Mn 1.91-1.93
O (0.7144, 0.5475, 0.4280)  2 Mn 1.92-1.93
O (0.7011, 0.5437, 0.7651)  2 Mn 1.92-1.93
O (0.2144, 0.4525, 0.0720)  2 Mn 1.92-1.93
O (0.2067, 0.4676, 0.4018)  2 Mn 1.91-1.93
O (0.2011, 0.4563, 0.7349)  2 Mn 1.92-1.93
O (0.2989, 0.0437, 0.2349)  2 Mn 1.92-1.93
O (0.2856, 0.0475, 0.5720)  2 Mn 1.92-1.93
O (0.2933, 0.0324, 0.9018)  2 Mn 1.91-1.93
O (0.5766, 0.2500, 0.0055)  2 Mn 1.91
O (0.5768, 0.2500, 0.3387)  2 Mn 1.90
O (0.5832, 0.2500, 0.6739)  2 Mn 1.92
O (0.9168, 0.2500, 0.1739)  2 Mn 1.92
O (0.9234, 0.2500, 0.5055)  2 Mn 1.91
O (0.9232, 0.2500, 0.8387)  2 Mn 1.90
O (0.4168, 0.7500, 0.3261)  2 Mn 1.92
O (0.4232, 0.7500, 0.6613)  2 Mn 1.90
O (0.4234, 0.7500, 0.9945)  2 Mn 1.91
O (0.0768, 0.7500, 0.1613)  2 Mn 1.90
O (0.0766, 0.7500, 0.4945)  2 Mn 1.91
O (0.0832, 0.7500, 0.8261)  2 Mn 1.92

---

No. 6
Density functional theory data (SCAN) for a crystal of Re2NiAu relaxed with PBEsol.

Properties
calculated density = 18.43 Mg/m³
energy = -56.59 eV per atom
space group = No. 8

Cell: 2.6606 4.6738 4.8074 Å, 98.77 90.00 106.54°
Last column: nearest neighbours and their distance in Å.
Fractional positions:
Au (0.4965, 0.9929, 0.4826)  3 Ni 2.64-2.71, 2 Au 2.66, 7 Re 2.71-2.81
Ni (0.7441, 0.4882, 0.2489)  7 Re 2.62-2.85, 3 Au 2.64-2.71, 2 Ni 2.66
Re (0.0089, 0.0179, 0.9946)  5 Re 2.56-2.73, 3 Ni 2.62-2.84, 4 Au 2.71-2.78
Re (0.2505, 0.5010, 0.7739)  5 Re 2.56-2.73, 4 Ni 2.65-2.85, 3 Au 2.79-2.81